# 1
Below is a relaxed PrBrCl crystal, with properties calculated at the GGA-PBE level.

Unit cell a=3.999 b=6.877 c=8.469 alpha=113.25 beta=103.11 gamma=90.01
Sites, in units of the cell vectors:
Pr: 0.250 0.249 0.001
Pr: 0.750 0.751 0.999
Br: 0.374 0.039 0.258
Br: 0.626 0.961 0.742
Cl: 0.141 0.472 0.772
Cl: 0.859 0.528 0.228

- mass density (g cm⁻³) = 4.10
- VASP energy (eV/atom) = -4.5779
- raw formation energy (meV/atom) = -1812
- space group = P-1 (2)

# 2
Below is a relaxed RbAlGe crystal, with properties calculated at the GGA-PBE level.

Unit cell a=4.237 b=6.557 c=7.692 alpha=76.44 beta=74.04 gamma=89.98
Sites, in units of the cell vectors:
Rb: 0.086 0.305 0.329
Rb: 0.914 0.695 0.671
Al: 0.221 0.877 0.059
Al: 0.779 0.123 0.941
Ge: 0.372 0.193 0.755
Ge: 0.628 0.807 0.245

- mass density (g cm⁻³) = 3.09
- ΔE_f (kJ/mol of atoms) = -3
- VASP energy (eV/atom) = -3.1387
- space group = P-1 (2)

Question: The lowest mass density belongs to which entry?
Answer: RbAlGe